1.
Entry from Alexandria: crystalline Sr2CrAs at its relaxed geometry (GGA-PBE).

magnetization = 1.062 μB/atom
formation energy = 0.254 eV per atom
space-group type = F-43m (216)
calculated density = 4.52 Mg/m³
Fermi-level density of states = 3.38 states/eV per cell

Cell: 5.393 5.393 5.393 Å, 60.00 60.00 60.00°
Site moments in Bohr magnetons follow the coordinates.
Sites, in units of the cell vectors:
As: 0.500 0.500 0.500  -0.03
Cr: 0.750 0.750 0.750  3.82
Sr: 0.000 0.000 0.000  0.01
Sr: 0.250 0.250 0.250  -0.05

2.
Entry from Alexandria: crystalline SrCr2As at its relaxed geometry (GGA-PBE).

magnetization = 0.956 μB/atom
formation energy = 0.355 eV per atom
space-group type = I4_1/amd (141)
calculated density = 4.80 Mg/m³
Fermi-level density of states = 8.63 states/eV per cell

Cell: 4.565 4.565 9.420 Å, 75.98 75.98 90.00°
Site moments in Bohr magnetons follow the coordinates.
Sites, in units of the cell vectors:
Sr: 0.000 0.000 0.000  0.02
Sr: 0.750 0.250 0.500  0.02
As: 0.500 0.500 0.000  -0.06
As: 0.250 0.750 0.500  -0.06
Cr: 0.375 0.125 0.250  1.68
Cr: 0.375 0.625 0.250  1.67
Cr: 0.375 0.625 0.750  1.82
Cr: 0.875 0.625 0.750  1.80

3.
Entry from Alexandria: crystalline Sr2CrAs at its relaxed geometry (GGA-PBE).

magnetization = 1.226 μB/atom
formation energy = -0.127 eV per atom
space-group type = Cmmm (65)
calculated density = 4.33 Mg/m³
Fermi-level density of states = 0.96 states/eV per cell

Cell: 5.207 5.207 4.269 Å, 90.00 90.00 89.91°
Site moments in Bohr magnetons follow the coordinates.
Sites, in units of the cell vectors:
As: 0.500 0.000 0.500  -0.03
Cr: 0.000 0.500 0.500  4.07
Sr: 0.000 0.000 0.000  0.04
Sr: 0.500 0.500 0.000  0.04

4.
Entry from Alexandria: crystalline Sr2CrAs at its relaxed geometry (GGA-PBE).

magnetization = 1.236 μB/atom
formation energy = 0.062 eV per atom
space-group type = P4mm (99)
calculated density = 3.84 Mg/m³
Fermi-level density of states = 0.77 states/eV per cell

Cell: 4.464 4.464 6.559 Å, 90.00 90.00 90.00°
Site moments in Bohr magnetons follow the coordinates.
Sites, in units of the cell vectors:
As: 0.000 0.000 0.448  -0.01
Cr: 0.500 0.500 0.786  4.13
Sr: 0.000 0.000 0.936  0.05
Sr: 0.500 0.500 0.329  0.02

5.
Entry from Alexandria: crystalline Sr2CrAs2 at its relaxed geometry (GGA-PBE).

magnetization = 0.803 μB/atom
formation energy = -0.544 eV per atom
space-group type = P4/mbm (127)
calculated density = 4.80 Mg/m³
Fermi-level density of states = 2.58 states/eV per cell

Cell: 7.598 7.598 4.517 Å, 90.00 90.00 90.00°
Site moments in Bohr magnetons follow the coordinates.
Sites, in units of the cell vectors:
Sr: 0.152 0.652 0.500  0.02
Sr: 0.652 0.848 0.500  0.02
Sr: 0.848 0.348 0.500  0.02
Sr: 0.348 0.152 0.500  0.02
As: 0.338 0.838 0.000  -0.13
As: 0.838 0.662 0.000  -0.13
As: 0.662 0.162 0.000  -0.13
As: 0.162 0.338 0.000  -0.13
Cr: 0.000 0.000 0.000  3.69
Cr: 0.500 0.500 0.000  3.69

6.
Entry from Alexandria: crystalline SrCrAs2 at its relaxed geometry (GGA-PBE).

magnetization = 0.636 μB/atom
excess energy over the best structure of this formula in the dataset = 146 kJ/mol of formula units
formation energy = -0.164 eV per atom
space-group type = P4mm (99)
calculated density = 4.85 Mg/m³
Fermi-level density of states = 1.56 states/eV per cell

Cell: 3.644 3.644 7.461 Å, 90.00 90.00 90.00°
Site moments in Bohr magnetons follow the coordinates.
Sites, in units of the cell vectors:
As: 0.000 0.000 0.010  -0.16
As: 0.500 0.500 0.368  -0.23
Cr: 0.000 0.000 0.336  2.92
Sr: 0.500 0.500 0.787  -0.02